(1)
Computed, not measured: CaTlPd3 after structural relaxation at the PBE-GGA level of DFT.

abc: 5.0765 5.0765 5.0765
angles: 90.00 90.00 90.00
Element x y z (fractional)
1 Ca 0.5000 0.5000 0.5000
2 Tl 0.0000 0.0000 0.0000
3 Pd 0.0000 0.5000 0.0000
4 Pd 0.0000 0.0000 0.5000
5 Pd 0.5000 0.0000 0.0000

Output
Total energy: -3.837 eV per atom
SG: Pm-3m (221)
Total magnetic moment: 0.00 μB/f.u.
Formation energy from the elements: 0.152 eV per atom

***

(2)
Computed, not measured: Mg2InAg after structural relaxation at the PBE-GGA level of DFT.

abc: 3.2482 4.1755 6.2486
angles: 90.00 90.00 90.00
Element x y z (fractional)
1 In 0.5000 0.5000 0.7502
2 Mg 0.0000 0.0000 0.0009
3 Mg 0.5000 0.5000 0.2702
4 Ag 0.0000 0.0000 0.4788

Output
Total energy: -2.278 eV per atom
SG: Pmm2 (25)
Total magnetic moment: 0.00 μB/f.u.
Formation energy from the elements: -0.083 eV per atom

***

(3)
Computed, not measured: CsTlTe3 after structural relaxation at the PBE-GGA level of DFT.

abc: 5.9568 5.9568 5.9568
angles: 90.00 90.00 90.00
Element x y z (fractional)
1 Te 0.5000 0.0000 0.0000
2 Te 0.0000 0.5000 0.0000
3 Te 0.0000 0.0000 0.5000
4 Cs 0.5000 0.5000 0.5000
5 Tl 0.0000 0.0000 0.0000

Output
Total energy: -2.609 eV per atom
SG: Pm-3m (221)
Total magnetic moment: 0.00 μB/f.u.
ΔE_f (raw): -0.080 eV/atom

***

(4)
Computed, not measured: Fe4Te2Au after structural relaxation at the PBE-GGA level of DFT.

abc: 4.7731 4.7731 7.5767
angles: 71.64 71.64 90.00
Last column: magnetic moment on the atom in μB.
Element x y z (fractional)
1 Fe 0.1850 0.1850 0.6300  3.09
2 Te 0.3717 0.3717 0.2566  0.05
3 Au 0.0000 0.0000 0.0000  0.09
4 Fe 0.5000 0.0000 0.0000  2.86
5 Fe 0.8150 0.8150 0.3700  3.09
6 Fe 0.0000 0.5000 0.0000  2.86
7 Te 0.6283 0.6283 0.7434  0.05

Output
Total energy: -5.342 eV per atom
SG: I4/mmm (139)
Total magnetic moment: 12.36 μB/f.u.
ΔE_f (raw): 0.860 eV/atom

***

(5)
Computed, not measured: NaZr2PbN after structural relaxation at the PBE-GGA level of DFT.

abc: 4.4838 4.7854 4.4838
angles: 90.00 90.00 90.00
Element x y z (fractional)
1 Pb 0.5000 0.5000 0.5000
2 N 0.0000 0.0000 0.0000
3 Zr 0.5000 0.0000 0.0000
4 Na 0.0000 0.5000 0.0000
5 Zr 0.0000 0.0000 0.5000

Output
Total energy: -6.631 eV per atom
SG: P4/mmm (123)
Total magnetic moment: 0.00 μB/f.u.
ΔE_f (raw): -0.541 eV/atom

***

(6)
Computed, not measured: Li2OsPb after structural relaxation at the PBE-GGA level of DFT.

abc: 5.0086 5.0086 5.0086
angles: 135.67 133.51 66.19
Last column: magnetic moment on the atom in μB.
Element x y z (fractional)
1 Pb 0.2493 0.7493 0.5000  -0.01
2 Os 0.5027 0.5027 0.0000  0.09
3 Li 0.7508 0.2508 0.5000  0.00
4 Li 0.9972 0.9972 0.0000  0.00

Output
Total energy: -4.430 eV per atom
SG: Imm2 (44)
Total magnetic moment: 0.08 μB/f.u.
Formation energy from the elements: 0.261 eV per atom

***

(7)
Computed, not measured: V3Re2Mo2 after structural relaxation at the PBE-GGA level of DFT.

abc: 3.0482 6.7266 10.7557
angles: 87.89 81.85 76.90
Element x y z (fractional)
1 Re 0.4644 0.1687 0.9024
2 V 0.3338 0.8295 0.5030
3 Mo 0.4021 0.5051 0.6906
4 Mo 0.5979 0.4949 0.3094
5 Re 0.7334 0.8338 0.6994
6 Re 0.5356 0.8313 0.0976
7 V 0.6662 0.1705 0.4970
8 Mo 0.0659 0.1718 0.6964
9 Mo 0.9341 0.8282 0.3036
10 V 0.8666 0.1666 0.1002
11 V 0.7995 0.5002 0.9008
12 Re 0.2666 0.1662 0.3006
13 V 0.2005 0.4998 0.0992
14 V 0.1334 0.8334 0.8998

Output
Total energy: -10.542 eV per atom
SG: C2/m (12)
Total magnetic moment: 0.00 μB/f.u.
Formation energy from the elements: 0.017 eV per atom

***

(8)
Computed, not measured: LiY3Np4S8 after structural relaxation at the PBE-GGA level of DFT.

abc: 7.7996 7.8084 7.8338
angles: 120.18 119.86 90.00
Last column: magnetic moment on the atom in μB.
Element x y z (fractional)
1 Y 0.0000 0.5000 0.5000  0.03
2 Np 0.5000 0.0000 0.0000  3.90
3 S 0.7551 0.2548 0.5102  0.03
4 Y 0.5000 0.5000 0.5000  0.03
5 S 0.2449 0.7452 0.4898  0.03
6 S 0.2505 0.2499 0.5011  0.02
7 S 0.7495 0.7501 0.4989  0.02
8 Li 0.0000 0.5000 0.0000  0.00
9 Np 0.0000 0.0000 0.5000  -3.82
10 Np 0.5000 0.0000 0.5000  -3.82
11 S 0.2470 0.2551 0.0020  -0.03
12 S 0.7550 0.2551 0.0020  -0.03
13 S 0.2450 0.7449 0.9980  -0.03
14 Np 0.0000 0.0000 0.0000  3.84
15 Y 0.5000 0.5000 0.0000  -0.02
16 S 0.7530 0.7449 0.9980  -0.03

Output
Total energy: -8.227 eV per atom
SG: C2/m (12)
Total magnetic moment: 0.20 μB/f.u.
ΔE_f (raw): -1.596 eV/atom